Density functional theory data (PBE-GGA) for an optimized crystal structure of NdSi2RuRh.

* DFT total energy: -0.5480 Ry/atom
* crystal system: tetragonal

```
NdSi2RuRh
1.0
4.165 0.000 0.000
0.000 4.165 0.000
-2.083 -2.083 4.987
Nd Rh Ru Si
1 1 1 2
Cartesian
0.000 0.000 0.000 Nd
2.083 0.000 2.494 Rh
0.000 2.083 2.494 Ru
0.000 0.000 3.691 Si
2.083 2.083 1.296 Si
```

=====

Density functional theory data (PBE-GGA) for an optimized crystal structure of Nd2Si4Ru3Rh.

* DFT total energy: -0.5577 Ry/atom
* crystal system: tetragonal

```
Nd2Si4Ru3Rh
1.0
4.188 0.000 0.000
0.000 4.188 0.000
0.000 0.000 9.915
Ru Rh Nd Si
3 1 2 4
Cartesian
0.000 0.000 4.957 Ru
0.000 0.000 0.000 Ru
2.094 2.094 4.957 Ru
2.094 2.094 0.000 Rh
2.094 0.000 7.407 Nd
0.000 2.094 2.508 Nd
0.000 2.094 8.728 Si
2.094 0.000 3.809 Si
0.000 2.094 6.105 Si
2.094 0.000 1.187 Si
```

=====

| no. | formation energy without anion corrections (meV/atom) |
| --- | --- |
| 1 | -1008 |
| 2 | -947 |